The following is a DFT calculation (PBE) of AcPm2Al4 after structural relaxation.

Structure (POSCAR):
```
AcPm2Al4
1.0
-2.195 2.294 9.635
2.195 -2.294 9.635
2.195 2.294 -9.635
Ac Pm Al
1 2 4
Direct
0.000 0.000 0.000 Ac
0.186 0.686 0.500 Pm
0.814 0.314 0.500 Pm
0.355 0.855 0.500 Al
0.431 0.431 0.000 Al
0.569 0.569 0.000 Al
0.645 0.145 0.500 Al
```

Fermi-level density of states	0.95	states/eV/atom
E_form	-0.368	eV/atom